(1)
{"formula": "TcMoOs2", "functional": "PBE", "state": "optimized geometry", "cell": [[3.8914, 0.0000, 0.0000], [0.0000, 3.8914, 0.0000], [0.0000, 0.0000, 3.9007]], "species": ["Tc", "Os", "Os", "Mo"], "frac_coords": [[0.5000, 0.0000, 0.5000], [0.5000, 0.5000, 0.0000], [0.0000, 0.0000, 0.0000], [0.0000, 0.5000, 0.5000]], "crystal_system": "tetragonal", "relative_energy_mev_per_atom": 0.0, "ef_mev_per_atom": 41, "vol_a3_per_cell": 59, "e_tot_ev_per_atom": -10.87, "sg": "P4/mmm, No. 123"}



(2)
{"formula": "TiTcMoOs", "functional": "PBE", "state": "optimized geometry", "cell": [[-1.1763, 4.2362, 0.1524], [-4.0160, 1.1185, 1.4047], [-0.4919, 2.0078, 3.8832]], "species": ["Os", "Mo", "Ti", "Tc"], "frac_coords": [[0.0000, 0.0000, 0.0000], [0.2500, 0.2500, 0.2500], [0.7500, 0.7500, 0.7500], [0.5000, 0.5000, 0.5000]], "crystal_system": "cubic", "ef_mev_per_atom": -281, "vol_a3_per_cell": 60, "e_tot_ev_per_atom": -10.36, "sg": "F-43m, No. 216"}



(3)
{"formula": "VTcMoOs", "functional": "PBE", "state": "optimized geometry", "cell": [[4.3549, 0.0000, 0.0000], [2.1775, 3.7715, 0.0000], [2.1775, 1.2572, 3.5558]], "species": ["Mo", "V", "Tc", "Os"], "frac_coords": [[0.0000, 0.0000, 0.0000], [0.5000, 0.5000, 0.5000], [0.2500, 0.2500, 0.2500], [0.7500, 0.7500, 0.7500]], "crystal_system": "cubic", "ef_mev_per_atom": -52, "vol_a3_per_cell": 58, "e_tot_ev_per_atom": -10.44, "sg": "F-43m, No. 216"}



(4)
{"formula": "ZnTcMoOs", "functional": "PBE", "state": "optimized geometry", "cell": [[4.3642, 0.0000, 0.0000], [2.1821, 3.7795, 0.0000], [2.1821, 1.2598, 3.5634]], "species": ["Os", "Tc", "Zn", "Mo"], "frac_coords": [[0.0000, 0.0000, 0.0000], [0.5000, 0.5000, 0.5000], [0.2500, 0.2500, 0.2500], [0.7500, 0.7500, 0.7500]], "crystal_system": "cubic", "ef_mev_per_atom": 109, "vol_a3_per_cell": 59, "e_tot_ev_per_atom": -8.32, "sg": "F-43m, No. 216"}



(5)
{"formula": "Te6MoOs", "functional": "PBE", "state": "optimized geometry", "cell": [[-4.4055, 4.0589, -3.0166], [-5.9210, 1.6146, 2.7625], [-1.4790, 6.5810, 2.5950]], "species": ["Te", "Te", "Te", "Te", "Os", "Te", "Te", "Mo"], "frac_coords": [[0.4197, 0.7836, 0.7112], [0.9490, 0.5509, 0.2883], [0.2870, 0.9309, 0.1943], [0.0510, 0.4491, 0.7117], [0.0000, 0.0000, 0.0000], [0.5803, 0.2164, 0.2888], [0.7130, 0.0691, 0.8057], [0.5000, 0.5000, 0.5000]], "crystal_system": "triclinic", "vol_a3_per_cell": 218, "e_tot_ev_per_atom": -5.06, "sg": "P-1, No. 2", "raw_formation_energy_ev_per_atom": 0.0555}



(6)
{"formula": "TeMo2Os", "functional": "PBE", "state": "optimized geometry", "cell": [[8.7992, -0.0403, -0.0237], [8.2859, 2.9617, -0.0237], [8.2859, 1.4168, 2.6009]], "species": ["Mo", "Os", "Mo", "Te"], "frac_coords": [[0.7504, 0.7504, 0.7504], [0.4947, 0.4947, 0.4947], [0.0033, 0.0033, 0.0033], [0.2515, 0.2515, 0.2515]], "crystal_system": "trigonal", "vol_a3_per_cell": 69, "e_tot_ev_per_atom": -8.45, "sg": "R3m, No. 160", "raw_formation_energy_ev_per_atom": 0.5593}



(7)
{"formula": "TeMo2Os", "functional": "PBE", "state": "optimized geometry", "cell": [[2.8833, 0.0044, 0.0000], [-1.0677, 2.6784, 0.0000], [0.0000, 0.0000, 9.2103]], "species": ["Os", "Te", "Mo", "Mo"], "frac_coords": [[0.0000, 0.0000, 0.4705], [0.5000, 0.5000, 0.7526], [0.5000, 0.5000, 0.2517], [0.0000, 0.0000, 0.0252]], "crystal_system": "orthorhombic", "vol_a3_per_cell": 71, "e_tot_ev_per_atom": -8.30, "sg": "Cmm2, No. 35", "raw_formation_energy_ev_per_atom": 0.7055}



(8)
{"formula": "TeMo2Os", "functional": "PBE", "state": "optimized geometry", "cell": [[-4.0677, 0.6361, -0.2113], [-0.3601, -2.7118, -1.2319], [-0.8793, -4.2766, 4.0529]], "species": ["Os", "Te", "Mo", "Mo"], "frac_coords": [[0.5000, 0.2500, 0.2500], [0.5000, 0.7500, 0.7500], [0.0000, 0.9580, 0.0234], [0.0000, 0.5420, 0.4766]], "crystal_system": "monoclinic", "vol_a3_per_cell": 68, "e_tot_ev_per_atom": -8.54, "sg": "P2/m, No. 10", "raw_formation_energy_ev_per_atom": 0.4653}



(9)
{"formula": "TeMo2Os", "functional": "PBE", "state": "optimized geometry", "cell": [[5.0527, 0.0090, 0.0000], [1.9231, 4.6724, 0.0000], [-3.4879, -2.3407, 2.8081]], "species": ["Te", "Os", "Mo", "Mo"], "frac_coords": [[0.7500, 0.2500, 0.5000], [0.5000, 0.5000, 0.0000], [0.2500, 0.7500, 0.5000], [0.0000, 0.0000, 0.0000]], "crystal_system": "tetragonal", "vol_a3_per_cell": 66, "e_tot_ev_per_atom": -8.42, "sg": "I-4m2, No. 119", "raw_formation_energy_ev_per_atom": 0.5882}



(10)
{"formula": "TeMoOs", "functional": "PBE", "state": "optimized geometry", "cell": [[3.0539, 0.0000, 0.0000], [-1.5270, 2.6450, 0.0000], [0.0000, 0.0000, 13.0270]], "species": ["Os", "Os", "Mo", "Mo", "Te", "Te"], "frac_coords": [[0.1110, 0.2220, 0.8432], [0.1110, 0.2220, 0.1568], [0.4442, 0.8884, 0.0000], [0.4446, 0.8892, 0.5000], [0.7779, 0.5558, 0.3343], [0.7779, 0.5558, 0.6657]], "crystal_system": "hexagonal", "relative_energy_mev_per_atom": 170.3, "vol_a3_per_cell": 105, "e_tot_ev_per_atom": -7.80, "sg": "P-6m2, No. 187", "raw_formation_energy_ev_per_atom": 0.6023}



(11)
{"formula": "TeMoOs", "functional": "PBE", "state": "optimized geometry", "cell": [[-2.3875, -5.4891, -0.8279], [1.9269, -5.7113, -0.4295], [0.0201, 5.3679, 2.7752]], "species": ["Os", "Te", "Mo"], "frac_coords": [[0.3493, 0.3493, 0.0000], [0.6646, 0.6646, 0.0000], [0.9861, 0.9861, 0.0000]], "crystal_system": "tetragonal", "relative_energy_mev_per_atom": 0.0, "vol_a3_per_cell": 53, "e_tot_ev_per_atom": -7.97, "sg": "I4mm, No. 107", "raw_formation_energy_ev_per_atom": 0.4320}



(12)
{"formula": "TeMo2Os", "functional": "PBE", "state": "optimized geometry", "cell": [[-0.4981, 2.5701, 1.6158], [-2.7154, -1.1095, 0.9271], [3.1033, -2.9178, 5.5978]], "species": ["Te", "Mo", "Mo", "Os"], "frac_coords": [[0.5000, 0.5000, 0.7500], [0.0000, 0.0000, 0.0093], [0.0000, 0.0000, 0.4907], [0.5000, 0.5000, 0.2500]], "crystal_system": "tetragonal", "vol_a3_per_cell": 67, "e_tot_ev_per_atom": -8.71, "sg": "P4/mmm, No. 123", "raw_formation_energy_ev_per_atom": 0.2989}



(13)
{"formula": "TeMo2Os", "functional": "PBE", "state": "optimized geometry", "cell": [[-8.9268, -0.2993, -1.5697], [-8.2556, -3.1523, -2.0368], [-8.7729, -2.1816, 0.7198]], "species": ["Mo", "Mo", "Te", "Os"], "frac_coords": [[0.0037, 0.0037, 0.0037], [0.4963, 0.4963, 0.4963], [0.2500, 0.2500, 0.2500], [0.7500, 0.7500, 0.7500]], "crystal_system": "trigonal", "vol_a3_per_cell": 68, "e_tot_ev_per_atom": -8.52, "sg": "R-3m, No. 166", "raw_formation_energy_ev_per_atom": 0.4932}



(14)
{"formula": "Te2MoOs", "functional": "PBE", "state": "optimized geometry", "cell": [[-1.0931, 1.8232, 2.4740], [-0.8015, -4.5174, 2.9749], [4.1159, 0.3146, 1.5867]], "species": ["Te", "Os", "Mo", "Te"], "frac_coords": [[0.0000, 0.0000, 0.0000], [0.0000, 0.5000, 0.5000], [0.5000, 0.0000, 0.5000], [0.5000, 0.5000, 0.0000]], "crystal_system": "orthorhombic", "relative_energy_mev_per_atom": 796.6, "vol_a3_per_cell": 79, "e_tot_ev_per_atom": -6.03, "sg": "Pmmm, No. 47", "raw_formation_energy_ev_per_atom": 1.0595}



(15)
{"formula": "TeMoOs", "functional": "PBE", "state": "optimized geometry", "cell": [[7.4523, -0.0326, 0.0223], [6.6491, 2.8053, 0.0413], [0.8032, -1.0083, 2.6528]], "species": ["Os", "Te", "Mo"], "frac_coords": [[0.3498, 0.3498, 0.6502], [0.6649, 0.6649, 0.3351], [0.9854, 0.9854, 0.0146]], "crystal_system": "orthorhombic", "relative_energy_mev_per_atom": 422.5, "vol_a3_per_cell": 56, "e_tot_ev_per_atom": -7.55, "sg": "Fmm2, No. 42", "raw_formation_energy_ev_per_atom": 0.8545}



(16)
{"formula": "Te2MoOs", "functional": "PBE", "state": "optimized geometry", "cell": [[-1.5396, -1.0415, -2.6116], [-1.2480, -0.7285, 2.8614], [-4.6872, 7.3579, -0.1711]], "species": ["Te", "Mo", "Os", "Te"], "frac_coords": [[0.0000, 0.0000, 0.9977], [0.5000, 0.5000, 0.2500], [0.5000, 0.5000, 0.7500], [0.0000, 0.0000, 0.5023]], "crystal_system": "orthorhombic", "relative_energy_mev_per_atom": 857.5, "vol_a3_per_cell": 79, "e_tot_ev_per_atom": -5.97, "sg": "Cmmm, No. 65", "raw_formation_energy_ev_per_atom": 1.1204}



(17)
{"formula": "Te2MoOs", "functional": "PBE", "state": "optimized geometry", "cell": [[-3.8105, -0.3522, 2.4521], [-2.4447, -3.2513, 2.0271], [2.0180, 0.1814, 5.2482]], "species": ["Te", "Mo", "Os", "Te"], "frac_coords": [[0.0040, 0.0040, 0.9970], [0.7500, 0.7500, 0.7500], [0.2500, 0.2500, 0.2500], [0.4960, 0.4960, 0.5030]], "crystal_system": "monoclinic", "relative_energy_mev_per_atom": 350.5, "vol_a3_per_cell": 75, "e_tot_ev_per_atom": -6.47, "sg": "C2/m, No. 12", "raw_formation_energy_ev_per_atom": 0.6134}



(18)
{"formula": "Te2MoOs", "functional": "PBE", "state": "optimized geometry", "cell": [[1.8931, 0.0000, 8.9276], [-0.9466, 1.6395, 8.9276], [-0.9466, -1.6395, 8.9276]], "species": ["Te", "Te", "Mo", "Os"], "frac_coords": [[0.9060, 0.9060, 0.9060], [0.0940, 0.0940, 0.0940], [0.5000, 0.5000, 0.5000], [0.0000, 0.0000, 0.0000]], "crystal_system": "trigonal", "relative_energy_mev_per_atom": 434.0, "vol_a3_per_cell": 83, "e_tot_ev_per_atom": -6.39, "sg": "R-3m, No. 166", "raw_formation_energy_ev_per_atom": 0.6969}



(19)
{"formula": "Te2MoOs", "functional": "PBE", "state": "optimized geometry", "cell": [[1.9029, 0.0000, 9.0459], [-0.9514, 1.6479, 9.0459], [-0.9514, -1.6479, 9.0459]], "species": ["Te", "Te", "Mo", "Os"], "frac_coords": [[0.9041, 0.9041, 0.9041], [0.0959, 0.0959, 0.0959], [0.0000, 0.0000, 0.0000], [0.5000, 0.5000, 0.5000]], "crystal_system": "trigonal", "relative_energy_mev_per_atom": 722.6, "vol_a3_per_cell": 85, "e_tot_ev_per_atom": -6.10, "sg": "R-3m, No. 166", "raw_formation_energy_ev_per_atom": 0.9855}



(20)
{"formula": "Te2MoOs", "functional": "PBE", "state": "optimized geometry", "cell": [[4.3063, 0.0214, 0.0358], [2.4537, 3.5389, 0.0358], [1.8915, 0.9962, 6.4626]], "species": ["Os", "Mo", "Te", "Te"], "frac_coords": [[0.2314, 0.2314, 0.3272], [0.5251, 0.5251, 0.4133], [0.9778, 0.9778, 0.0978], [0.7657, 0.7657, 0.6617]], "crystal_system": "monoclinic", "relative_energy_mev_per_atom": 26.9, "vol_a3_per_cell": 98, "e_tot_ev_per_atom": -6.80, "sg": "Cm, No. 8", "raw_formation_energy_ev_per_atom": 0.2898}



(21)
{"formula": "Te2MoOs", "functional": "PBE", "state": "optimized geometry", "cell": [[-3.0082, 2.5961, 3.9231], [-0.2497, -2.1652, 5.1410], [3.8942, 1.2869, -3.7893]], "species": ["Os", "Te", "Mo", "Te"], "frac_coords": [[0.7500, 0.2500, 0.5000], [0.2500, 0.7500, 0.5000], [0.5000, 0.5000, 0.0000], [0.0000, 0.0000, 0.0000]], "crystal_system": "tetragonal", "relative_energy_mev_per_atom": 647.7, "vol_a3_per_cell": 77, "e_tot_ev_per_atom": -6.18, "sg": "I-4m2, No. 119", "raw_formation_energy_ev_per_atom": 0.9106}



(22)
{"formula": "TeMo2Os", "functional": "PBE", "state": "optimized geometry", "cell": [[5.0171, 0.0023, 0.0037], [4.0599, 2.9476, 0.0037], [0.6799, 0.2210, 4.6269]], "species": ["Mo", "Os", "Te", "Mo"], "frac_coords": [[0.4893, 0.4893, 0.5352], [0.7500, 0.7500, 0.7500], [0.2500, 0.2500, 0.2500], [0.0107, 0.0107, 0.9648]], "crystal_system": "monoclinic", "vol_a3_per_cell": 68, "e_tot_ev_per_atom": -8.56, "sg": "C2/m, No. 12", "raw_formation_energy_ev_per_atom": 0.4453}



(23)
{"formula": "Te2MoOs", "functional": "PBE", "state": "optimized geometry", "cell": [[3.1321, 0.0000, 0.0000], [0.0000, 3.1321, 0.0000], [0.0000, 0.0000, 8.7895]], "species": ["Te", "Os", "Mo", "Te"], "frac_coords": [[0.0000, 0.0000, 0.9191], [0.5000, 0.5000, 0.7301], [0.0000, 0.0000, 0.5221], [0.5000, 0.5000, 0.3287]], "crystal_system": "tetragonal", "relative_energy_mev_per_atom": 28.5, "vol_a3_per_cell": 86, "e_tot_ev_per_atom": -6.79, "sg": "P4mm, No. 99", "raw_formation_energy_ev_per_atom": 0.2914}



(24)
{"formula": "Te4MoOs", "functional": "PBE", "state": "optimized geometry", "cell": [[-0.0493, 2.4329, 5.5853], [-3.4646, 4.8730, 1.1695], [-4.9428, -0.5503, 3.5188]], "species": ["Te", "Te", "Te", "Te", "Os", "Mo"], "frac_coords": [[0.3746, 0.8763, 0.3746], [0.8763, 0.3746, 0.3746], [0.3746, 0.3746, 0.3746], [0.3746, 0.3746, 0.8763], [0.0000, 0.0000, 0.0000], [0.7500, 0.7500, 0.7500]], "crystal_system": "cubic", "vol_a3_per_cell": 160, "e_tot_ev_per_atom": -3.91, "sg": "F-43m, No. 216", "raw_formation_energy_ev_per_atom": 1.8632}



(25)
{"formula": "TeMoOs", "functional": "PBE", "state": "optimized geometry", "cell": [[-1.4923, -4.5895, 0.4421], [2.3075, -3.2783, -2.7230], [0.6953, 3.3974, 3.3854]], "species": ["Os", "Mo", "Te"], "frac_coords": [[0.3424, 0.3424, 0.0000], [0.9913, 0.9913, 0.0000], [0.6663, 0.6663, 0.0000]], "crystal_system": "orthorhombic", "relative_energy_mev_per_atom": 226.2, "vol_a3_per_cell": 52, "e_tot_ev_per_atom": -7.74, "sg": "Imm2, No. 44", "raw_formation_energy_ev_per_atom": 0.6582}



(26)
{"formula": "TeMo2Os", "functional": "PBE", "state": "optimized geometry", "cell": [[5.3431, -0.0007, -0.0032], [2.4520, 4.7472, 0.0032], [-3.4125, -3.1698, 2.6183]], "species": ["Te", "Mo", "Mo", "Os"], "frac_coords": [[0.2500, 0.7500, 0.5000], [0.4873, 0.4873, 0.0000], [0.0127, 0.0127, 0.0000], [0.7500, 0.2500, 0.5000]], "crystal_system": "orthorhombic", "vol_a3_per_cell": 66, "e_tot_ev_per_atom": -8.51, "sg": "Immm, No. 71", "raw_formation_energy_ev_per_atom": 0.4977}



(27)
{"formula": "Te2MoOs", "functional": "PBE", "state": "optimized geometry", "cell": [[3.9821, 0.0000, 0.0000], [0.0000, 3.0267, 0.0008], [0.0000, 0.8320, 7.7613]], "species": ["Te", "Mo", "Os", "Te"], "frac_coords": [[0.0000, 0.8551, 0.9181], [0.0000, 0.5322, 0.5549], [0.5000, 0.9883, 0.6854], [0.5000, 0.1245, 0.3416]], "crystal_system": "monoclinic", "relative_energy_mev_per_atom": 0.0, "vol_a3_per_cell": 94, "e_tot_ev_per_atom": -6.82, "sg": "Pm, No. 6", "raw_formation_energy_ev_per_atom": 0.2629}



(28)
{"formula": "TeMo2Os", "functional": "PBE", "state": "optimized geometry", "cell": [[6.0493, 0.0025, 0.0083], [-2.2861, 4.4501, -0.0021], [1.4770, 0.7634, 2.4948]], "species": ["Mo", "Te", "Os", "Mo"], "frac_coords": [[0.5000, 0.0000, 0.5000], [0.5000, 0.5000, 0.0000], [0.0000, 0.5000, 0.5000], [0.0000, 0.0000, 0.0000]], "crystal_system": "orthorhombic", "vol_a3_per_cell": 67, "e_tot_ev_per_atom": -8.44, "sg": "Cmmm, No. 65", "raw_formation_energy_ev_per_atom": 0.5721}



(29)
{"formula": "Te2MoOs", "functional": "PBE", "state": "optimized geometry", "cell": [[-3.3090, 0.2307, -0.3244], [-0.1738, -3.2809, -0.5600], [-0.7088, -1.0668, 6.4708]], "species": ["Os", "Te", "Te", "Mo"], "frac_coords": [[0.5000, 0.5000, 0.7500], [0.0000, 0.0000, 0.4966], [0.0000, 0.0000, 0.0034], [0.5000, 0.5000, 0.2500]], "crystal_system": "tetragonal", "relative_energy_mev_per_atom": 351.5, "vol_a3_per_cell": 73, "e_tot_ev_per_atom": -6.47, "sg": "P4/mmm, No. 123", "raw_formation_energy_ev_per_atom": 0.6144}



(30)
{"formula": "Te2MoOs", "functional": "PBE", "state": "optimized geometry", "cell": [[-3.1762, 4.8585, -1.7297], [-4.5437, -3.5972, -1.7608], [-6.2251, 0.9934, 3.6168]], "species": ["Mo", "Te", "Mo", "Te", "Os", "Te", "Os", "Te"], "frac_coords": [[0.5000, 0.5000, 0.0000], [0.6367, 0.1250, 0.2500], [0.2500, 0.7500, 0.5000], [0.3750, 0.3633, 0.7500], [0.7500, 0.2500, 0.5000], [0.8750, 0.8867, 0.7500], [0.0000, 0.0000, 0.0000], [0.1133, 0.6250, 0.2500]], "crystal_system": "tetragonal", "relative_energy_mev_per_atom": 582.2, "vol_a3_per_cell": 215, "e_tot_ev_per_atom": -6.24, "sg": "I-42d, No. 122", "raw_formation_energy_ev_per_atom": 0.8451}